Entry from the Alexandria database: an optimized crystal structure of LiNd2ZnRh2 (GGA-PBE).

The structure in CIF format:
```
data_LiNd2ZnRh2
_chemical_formula_sum 'Li2 Nd4 Zn2 Rh4'
_cell_length_a 5.697
_cell_length_b 5.720
_cell_length_c 8.513
_cell_angle_alpha 109.63
_cell_angle_beta 109.55
_cell_angle_gamma 90.00
_space_group_name_H-M_alt 'P 1'
_space_group_IT_number 1
_space_group_name_Hall 'P 1'
loop_
_atom_site_label
_atom_site_fract_x
_atom_site_fract_y
_atom_site_fract_z
Li1 0.000 0.750 0.000
Li2 0.000 0.250 0.000
Nd1 0.416 0.168 0.336
Nd2 0.584 0.832 0.664
Nd3 0.080 0.332 0.664
Nd4 0.920 0.668 0.336
Zn1 0.500 0.750 0.000
Zn2 0.500 0.250 0.000
Rh1 0.867 0.123 0.247
Rh2 0.380 0.623 0.247
Rh3 0.620 0.377 0.753
Rh4 0.133 0.877 0.753
```

## Properties
- Raw total energy: -61.52 eV/cell
- Formation energy from the elements: -0.56 eV per atom
- Density of states at the Fermi level: 0.342 states/eV/atom
- Space group: Ibam
- Crystal system: orthorhombic
- ρ: 7.7 g/cm3